(1)
DFT (meta-GGA SCAN) results for a PBEsol-optimized structure of Co5Ru.

a b c (Å): 3.9905 6.6014 6.6014
angles (deg): 21.89 90.00 90.00
Fractional coordinates of all 6 atoms:
Co 0.0000 0.0000 0.0000
Co 0.0000 0.3269 0.3269
Co 0.0000 0.6633 0.6633
Co 0.5000 0.1120 0.1120
Co 0.5000 0.7716 0.7716
Ru 0.5000 0.4415 0.4415

VASP energy = -20.070 eV/atom
Theoretical density = 10.136 g cm⁻³
Calculated volume = 10.806 Å³ per atom
Crystal system = orthorhombic

(2)
DFT (meta-GGA SCAN) results for a PBEsol-optimized structure of SbRh2W.

a b c (Å): 4.4460 4.4460 4.4460
angles (deg): 60.00 60.00 60.00
Fractional coordinates of all 4 atoms:
Sb 0.0000 0.0000 0.0000
Rh 0.2500 0.2500 0.2500
Rh 0.5000 0.5000 0.5000
W 0.7500 0.7500 0.7500

Theoretical density = 13.666 g cm⁻³
Calculated volume = 15.536 Å³ per atom
ΔE_f (raw) = 0.14 eV/atom
Crystal system = cubic